(1)
An optimized crystal structure of SrHgAu3, computed with PBE-GGA.

Results
ΔE to the lowest computed polymorph = 0.0000 eV per atom
density of states at the Fermi level = 6.0 states/eV/cell
energy of formation from the pure elements = -436 meV/atom

a b c (Å): 8.233 6.702 8.959
angles (deg): 90.00 103.87 90.00
Space group P2_1/c (No. 14)
One atom of each set of equivalent atoms:
Sr (0.221, 0.018, 0.260) x4
Hg (0.491, 0.214, 0.043) x4
Au (0.001, 0.203, 0.494) x4
Au (0.182, 0.001, 0.886) x4
Au (0.329, 0.551, 0.141) x4



(2)
An optimized crystal structure of ScGeNF, computed with PBE-GGA.

Results
formation energy from raw total energies = -1.54 eV per atom
ΔE to the lowest computed polymorph = 0.2253 eV per atom
density of states at the Fermi level = 2.0 states/eV/cell

a b c (Å): 3.640 3.369 11.636
angles (deg): 90.00 90.00 90.00
Space group Amm2 (No. 38)
One atom of each set of equivalent atoms:
Sc (0.000, 0.000, 0.000) x2
Ge (0.500, 0.000, 0.313) x2
N (0.500, 0.000, 0.920) x2
F (0.000, 0.000, 0.596) x2



(3)
An optimized crystal structure of NaY2Hg2, computed with PBE-GGA.

Results
ΔE to the lowest computed polymorph = 0.0000 eV per atom
density of states at the Fermi level = 4.8 states/eV/cell
energy of formation from the pure elements = -328 meV/atom

a b c (Å): 8.491 8.491 3.824
angles (deg): 90.00 90.00 90.00
Space group P4/mbm (No. 127)
One atom of each set of equivalent atoms:
Na (0.000, 0.000, 0.000) x2
Y (0.157, 0.343, 0.500) x4
Hg (0.140, 0.640, 0.000) x4



Which value of ΔE to the lowest computed polymorph does entry 3 give?
0.0000 eV per atom



density of states at the Fermi level of number 1 (SrHgAu3)?
6.0 states/eV/cell



Among the records above, which one has the highest density of states at the Fermi level?
SrHgAu3



Among the records above, which one has the lowest density of states at the Fermi level?
ScGeNF